First-principles (GGA+U) data for a geometry-optimized SrCrAgO2 structure, as listed in the Alexandria database.

Summary:
calculated density: 3.2 g/cm3
calculated volume: 145 Å³/cell
magnetic moment: 6.9 Bohr magnetons per cell
calculated total energy: -4.26 eV per atom
density of states at the Fermi level: 0.782 states/eV/atom

Lattice parameters (Å, degrees): 4.479 4.479 7.225 90.00 90.00 90.00
Space group P4/mmm (No. 123)
Symmetry-distinct sites (fractional):
1 Sr 0.000 0.000 0.000 [1 per cell]
2 Cr 0.000 0.000 0.500 [1 per cell]
3 Ag 0.500 0.500 0.500 [1 per cell]
4 O 0.000 0.500 0.000 [2 per cell]